# 1
Density functional theory data (PBEsol) for CuSe2O5 after structural relaxation.

Cell: 6.5031 6.5031 7.6463 Å, 109.53 109.53 46.60°
Sites, in units of the cell vectors:
Cu  0.0000  0.0000  0.0000
Cu  0.0000  0.0000  0.5000
Se  0.2828  0.4283  0.6701
Se  0.4283  0.2828  0.1701
Se  0.5717  0.7172  0.8299
Se  0.7172  0.5717  0.3299
O  0.0986  0.6458  0.8532
O  0.1014  0.6435  0.5017
O  0.3542  0.9014  0.6468
O  0.3565  0.8986  0.9983
O  0.3980  0.6020  0.2500
O  0.6020  0.3980  0.7500
O  0.6435  0.1014  0.0017
O  0.6458  0.0986  0.3532
O  0.8986  0.3565  0.4983
O  0.9014  0.3542  0.1468

As for the raw formation energy: -686.3 meV/atom.

***

# 2
Density functional theory data (PBEsol) for ZnHCI2 after structural relaxation.

Cell: 5.0798 5.0798 3.3687 Å, 90.00 90.00 90.00°
Sites, in units of the cell vectors:
Zn  0.0000  0.0000  0.0000
H  0.5000  0.5000  0.0000
C  0.5000  0.5000  0.5000
I  0.0000  0.5000  0.5000
I  0.5000  0.0000  0.5000

As for the raw total energy: -12.808 eV per cell.

***

# 3
Density functional theory data (PBEsol) for RbIr2Se after structural relaxation.

Cell: 9.0006 9.0006 9.0006 Å, 147.78 147.78 46.21°
Sites, in units of the cell vectors:
Rb  0.3750  0.6250  0.7500
Rb  0.6250  0.3750  0.2500
Ir  0.0000  0.0000  0.0000
Ir  0.0000  0.0000  0.5000
Ir  0.0000  0.5000  0.0000
Ir  0.5000  0.0000  0.5000
Se  0.1250  0.8750  0.2500
Se  0.8750  0.1250  0.7500

As for the raw formation energy: 419.2 meV/atom.

***

# 4
Density functional theory data (PBEsol) for Li2ZrTc after structural relaxation.

Cell: 5.6900 5.6900 2.7528 Å, 99.63 99.63 126.73°
Sites, in units of the cell vectors:
Li  0.0000  0.5000  0.0000
Li  0.5000  0.0000  0.0000
Zr  0.0000  0.0000  0.5000
Tc  0.5000  0.5000  0.5000

As for the energy above the most stable polymorph in this dataset: 90 meV per atom. The energy of formation from the pure elements is 5.53 kcal/mol of atoms.